Here is Cd5Hg2Bi2 after structural relaxation from the Alexandria database. Energies are from PBE-GGA.

Cell: 5.2493 5.2253 9.8081 Å, 109.90 102.11 88.46°
Sites, in units of the cell vectors:
Cd  0.0496  0.6042  0.1756
Cd  0.5853  0.8731  0.3405
Cd  0.9504  0.3958  0.8244
Cd  0.0000  0.0000  0.0000
Cd  0.4147  0.1269  0.6595
Hg  0.4698  0.7014  0.8869
Hg  0.5302  0.2986  0.1131
Bi  0.0729  0.2186  0.3753
Bi  0.9271  0.7814  0.6247

Here is RbInGe after structural relaxation from the Alexandria database. Energies are from PBE-GGA.

Cell: 7.5226 6.5448 4.6416 Å, 70.69 106.08 85.80°
Sites, in units of the cell vectors:
Rb  0.4629  0.7124  0.6644
Rb  0.7654  0.1445  0.1244
In  0.1842  0.1275  0.8568
In  0.9304  0.5564  0.4609
Ge  0.2916  0.3300  0.3061
Ge  0.0770  0.7146  0.9549

Here is MgZrIn2Sn after structural relaxation from the Alexandria database. Energies are from PBE-GGA.

Cell: 5.8468 5.6804 8.1571 Å, 110.38 90.00 90.00°
Sites, in units of the cell vectors:
Zr  0.7500  0.3386  0.6772
Zr  0.2500  0.6614  0.3228
Mg  0.7500  0.1453  0.2905
Mg  0.2500  0.8547  0.7095
Sn  0.2500  0.2775  0.5550
Sn  0.7500  0.7225  0.4450
In  0.0000  0.2529  0.0000
In  0.5000  0.7471  0.0000
In  0.0000  0.7471  0.0000
In  0.5000  0.2529  0.0000

Which volume belongs to each record? In order, 247.0, 101.9, 127.0 Å³/f.u..
Which spin magnetization belongs to each record? In order, 0.0, 0.0, 0.0 μB/cell.
Which ΔE_f belongs to each record? In order, 0.05, -0.09, 0.11 eV/atom.